Li2Ac2Tl | PBE | relaxed

Cell: 5.184 6.362 10.625 Å, 86.00 75.88 65.96°
Sites, in units of the cell vectors:
Li 0.097 0.259 0.547
Li 0.609 0.899 0.883
Li 0.903 0.741 0.453
Li 0.391 0.101 0.117
Ac 0.697 0.285 0.322
Ac 0.900 0.302 0.898
Ac 0.303 0.715 0.678
Ac 0.100 0.698 0.102
Tl 0.609 0.130 0.652
Tl 0.391 0.870 0.348

Summary:
Magnetization, μB/f.u.: 0.00
Final energy, eV/atom: -2.99
SG: C2/m (12)
Energy relative to the lowest polymorph listed for this composition, meV/atom: 7